Entry from the Alexandria database: ZnMo2Se after structural relaxation (GGA-PBEsol).

Results
The raw formation energy comes out at 0.77 eV per formula unit. The value obtained for the total energy is -7.050 eV/atom.

Cell: 4.497 4.963 4.963 Å, 34.51 90.00 90.00°
Positions (direct):
Zn1 0.000 0.000 0.000
Mo1 0.000 0.738 0.738
Mo2 0.500 0.349 0.349
Se1 0.500 0.629 0.629

***

Entry from the Alexandria database: CdSi2Tc after structural relaxation (GGA-PBEsol).

Results
The raw formation energy comes out at 2.44 eV per formula unit. The value obtained for the total energy is -5.379 eV/atom.

Cell: 4.432 4.432 4.432 Å, 60.00 60.00 60.00°
Positions (direct):
Cd1 0.000 0.000 0.000
Si1 0.500 0.500 0.500
Si2 0.750 0.750 0.750
Tc1 0.250 0.250 0.250

***

Entry from the Alexandria database: LaTaIn2 after structural relaxation (GGA-PBEsol).

Results
As for the formation energy: 174 meV per atom. The value obtained for the total energy is -5.792 eV/atom.

Cell: 5.547 5.547 3.000 Å, 90.00 90.00 90.00°
Positions (direct):
La1 0.000 0.000 0.000
Ta1 0.500 0.500 0.000
In1 0.000 0.500 0.500
In2 0.500 0.000 0.500

***

Entry from the Alexandria database: BRuBr3 after structural relaxation (GGA-PBEsol).

Results
The raw formation energy comes out at 5.94 eV per formula unit. The value obtained for the total energy is -3.371 eV/atom.

Cell: 4.584 4.584 4.584 Å, 90.00 90.00 90.00°
Positions (direct):
B1 0.000 0.000 0.000
Ru1 0.500 0.500 0.500
Br1 0.000 0.000 0.500
Br2 0.000 0.500 0.000
Br3 0.500 0.000 0.000

***

Entry from the Alexandria database: AlCdSi4 after structural relaxation (GGA-PBEsol).

Results
The raw formation energy comes out at 2.26 eV per formula unit. The value obtained for the total energy is -4.337 eV/atom.

Cell: 5.177 5.177 5.177 Å, 60.00 60.00 60.00°
Positions (direct):
Al1 0.000 0.000 0.000
Cd1 0.250 0.250 0.250
Si1 0.124 0.625 0.625
Si2 0.625 0.124 0.625
Si3 0.625 0.625 0.124
Si4 0.625 0.625 0.625

***

Entry from the Alexandria database: Al2ZnOs after structural relaxation (GGA-PBEsol).

Results
As for the formation energy: -205 meV per atom. The value obtained for the total energy is -5.700 eV/atom.

Cell: 4.233 4.233 3.088 Å, 90.00 90.00 96.37°
Positions (direct):
Al1 0.000 0.500 0.000
Al2 0.500 0.000 0.000
Zn1 0.000 0.000 0.500
Os1 0.500 0.500 0.500

***

Entry from the Alexandria database: Na3YP after structural relaxation (GGA-PBEsol).

Results
As for the formation energy: 1428 meV per atom. The value obtained for the total energy is -1.935 eV/atom.

Cell: 5.988 5.988 5.988 Å, 90.00 90.00 90.00°
Positions (direct):
Na1 0.000 0.000 0.500
Na2 0.000 0.500 0.000
Na3 0.500 0.000 0.000
Y1 0.000 0.000 0.000
P1 0.500 0.500 0.500

***

Entry from the Alexandria database: Be2AlTc after structural relaxation (GGA-PBEsol).

Results
As for the formation energy: -204 meV per atom. The value obtained for the total energy is -6.043 eV/atom.

Cell: 4.512 4.512 4.512 Å, 135.37 135.37 64.96°
Positions (direct):
Be1 0.250 0.750 0.500
Be2 0.750 0.250 0.500
Al1 0.000 0.000 0.000
Tc1 0.500 0.500 0.000